# 1
Density functional theory data (PBE) for a relaxed structure of MgIr2Rh.

a = 4.7766 Å, b = 4.7766 Å, c = 4.7368 Å
α = 99.45°, β = 99.45°, γ = 33.83°
Element x y z (fractional)
Mg1 0.0000 0.0000 0.0000
Ir1 0.5011 0.5011 0.4958
Ir2 0.7584 0.7584 0.2938
Rh1 0.2448 0.2448 0.7779

## Properties
As for the formation energy from the elements: -198 meV per atom. As for the space group: Cm.

***

# 2
Density functional theory data (PBE) for a relaxed structure of Mg2TePd2.

a = 7.9327 Å, b = 7.9327 Å, c = 3.0685 Å
α = 90.00°, β = 90.00°, γ = 90.00°
Element x y z (fractional)
Mg1 0.1485 0.3515 0.0000
Mg2 0.3515 0.8515 0.0000
Mg3 0.6485 0.1485 0.0000
Mg4 0.8515 0.6485 0.0000
Te1 0.0000 0.0000 0.0000
Te2 0.5000 0.5000 0.0000
Pd1 0.1368 0.6368 0.5000
Pd2 0.3632 0.1368 0.5000
Pd3 0.6368 0.8632 0.5000
Pd4 0.8632 0.3632 0.5000

## Properties
The value obtained for the energy above the most stable polymorph in this dataset is 0.1407 eV/atom. For the uncorrected formation energy, the calculation gives -0.413 eV per atom. As for the space group: P4/mbm.

***

# 3
Density functional theory data (PBE) for a relaxed structure of HfGa2W2.

a = 7.2552 Å, b = 7.2552 Å, c = 7.2552 Å
α = 150.80°, β = 150.80°, γ = 41.77°
Element x y z (fractional)
Hf1 0.0000 0.0000 0.0000
Ga1 0.2500 0.7500 0.5000
Ga2 0.7500 0.2500 0.5000
W1 0.4038 0.4038 0.0000
W2 0.5962 0.5962 0.0000

## Properties
The value obtained for the energy above the most stable polymorph in this dataset is 0.4215 eV/atom. As for the formation energy from the elements: 395 meV per atom. As for the space group: I4/mmm.

***

# 4
Density functional theory data (PBE) for a relaxed structure of CuAsOs.

a = 4.8744 Å, b = 4.8744 Å, c = 4.8744 Å
α = 142.73°, β = 142.73°, γ = 53.73°
Element x y z (fractional)
Cu1 0.0000 0.0000 0.0000
As1 0.6677 0.6677 0.0000
Os1 0.3166 0.3166 0.0000

## Properties
The value obtained for the energy above the most stable polymorph in this dataset is 0.0000 eV/atom. As for the formation energy from the elements: 261 meV per atom. As for the space group: I4mm.

***

# 5
Density functional theory data (PBE) for a relaxed structure of Ac2ErTm.

a = 5.9517 Å, b = 5.9517 Å, c = 5.9517 Å
α = 60.00°, β = 60.00°, γ = 60.00°
Element x y z (fractional)
Ac1 0.2500 0.2500 0.2500
Ac2 0.7500 0.7500 0.7500
Er1 0.0000 0.0000 0.0000
Tm1 0.5000 0.5000 0.5000

## Properties
The value obtained for the energy above the most stable polymorph in this dataset is 0.0286 eV/atom. As for the formation energy from the elements: 87 meV per atom. As for the space group: Fm-3m.

***

# 6
Density functional theory data (PBE) for a relaxed structure of BaC3.

a = 4.2093 Å, b = 4.2093 Å, c = 4.0200 Å
α = 90.00°, β = 90.00°, γ = 114.74°
Element x y z (fractional)
Ba1 0.0000 0.0000 0.0000
C1 0.3126 0.6874 0.5000
C2 0.5000 0.5000 0.5000
C3 0.6874 0.3126 0.5000

## Properties
The value obtained for the energy above the most stable polymorph in this dataset is 0.3563 eV/atom. As for the formation energy from the elements: 621 meV per atom. As for the space group: Cmmm.

***

# 7
Density functional theory data (PBE) for a relaxed structure of K3CeNd2Se6.

a = 7.5572 Å, b = 7.5572 Å, c = 8.0964 Å
α = 98.95°, β = 98.95°, γ = 120.00°
Element x y z (fractional)
K1 0.0000 0.0000 0.0000
K2 0.3331 0.6669 0.0000
K3 0.6669 0.3331 0.0000
Ce1 0.5000 0.5000 0.5000
Nd1 0.1666 0.8334 0.5000
Nd2 0.8334 0.1666 0.5000
Se1 0.0963 0.4299 0.2896
Se2 0.2366 0.2366 0.7105
Se3 0.4299 0.0963 0.2896
Se4 0.5701 0.9037 0.7104
Se5 0.7634 0.7634 0.2895
Se6 0.9037 0.5701 0.7104

## Properties
For the uncorrected formation energy, the calculation gives -1.732 eV per atom. As for the space group: C2/m.

***

# 8
Density functional theory data (PBE) for a relaxed structure of ThNbSb2.

a = 10.9102 Å, b = 10.9102 Å, c = 10.9102 Å
α = 17.90°, β = 17.90°, γ = 17.90°
Element x y z (fractional)
Th1 0.0000 0.0000 0.0000
Nb1 0.5000 0.5000 0.5000
Sb1 0.1020 0.1020 0.1020
Sb2 0.8980 0.8980 0.8980

## Properties
The value obtained for the energy above the most stable polymorph in this dataset is 0.1519 eV/atom. For the uncorrected formation energy, the calculation gives -0.025 eV per atom. As for the space group: R-3m.

***

# 9
Density functional theory data (PBE) for a relaxed structure of PrBeGaPd6.

a = 7.8568 Å, b = 7.8568 Å, c = 7.8568 Å
α = 133.48°, β = 109.91°, γ = 88.36°
Element x y z (fractional)
Pr1 0.4424 0.1924 0.2500
Pr2 0.5576 0.8076 0.7500
Be1 0.0000 0.5000 0.5000
Be2 0.5000 0.5000 0.0000
Ga1 0.0000 0.0000 0.5000
Ga2 0.0000 0.5000 0.0000
Pd1 0.1173 0.3695 0.2327
Pd2 0.1173 0.8845 0.7478
Pd3 0.1862 0.9362 0.2500
Pd4 0.2939 0.5439 0.7500
Pd5 0.3633 0.1155 0.7327
Pd6 0.3633 0.6305 0.2478
Pd7 0.6367 0.3695 0.7522
Pd8 0.6367 0.8845 0.2673
Pd9 0.7061 0.4561 0.2500
Pd10 0.8138 0.0638 0.7500
Pd11 0.8827 0.1155 0.2522
Pd12 0.8827 0.6305 0.7673

## Properties
As for the formation energy from the elements: -359 meV per atom. As for the space group: Imma.

***

# 10
Density functional theory data (PBE) for a relaxed structure of CeGa12Cu4.

a = 7.4645 Å, b = 7.4645 Å, c = 7.4645 Å
α = 109.47°, β = 109.47°, γ = 109.47°
Element x y z (fractional)
Ce1 0.0000 0.0000 0.0000
Ga1 0.1572 0.3474 0.5046
Ga2 0.1572 0.6526 0.8097
Ga3 0.1903 0.8428 0.3474
Ga4 0.3474 0.1903 0.8428
Ga5 0.3474 0.5046 0.1572
Ga6 0.4954 0.8428 0.6526
Ga7 0.5046 0.1572 0.3474
Ga8 0.6526 0.4954 0.8428
Ga9 0.6526 0.8097 0.1572
Ga10 0.8097 0.1572 0.6526
Ga11 0.8428 0.3474 0.1903
Ga12 0.8428 0.6526 0.4954
Cu1 0.0000 0.0000 0.5000
Cu2 0.0000 0.5000 0.0000
Cu3 0.5000 0.0000 0.0000
Cu4 0.5000 0.5000 0.5000

## Properties
As for the formation energy from the elements: -48 meV per atom. As for the space group: Im-3.

***

# 11
Density functional theory data (PBE) for a relaxed structure of Na2HfTe4.

a = 8.3121 Å, b = 8.3121 Å, c = 7.4983 Å
α = 113.79°, β = 113.79°, γ = 29.08°
Element x y z (fractional)
Na1 0.2017 0.2017 0.2140
Na2 0.7983 0.7983 0.7860
Hf1 0.5000 0.5000 0.5000
Te1 0.1333 0.1333 0.5535
Te2 0.4336 0.4336 0.0770
Te3 0.5664 0.5664 0.9230
Te4 0.8667 0.8667 0.4465

## Properties
The value obtained for the energy above the most stable polymorph in this dataset is 0.0000 eV/atom. For the uncorrected formation energy, the calculation gives -0.698 eV per atom. As for the space group: C2/m.

***

# 12
Density functional theory data (PBE) for a relaxed structure of LuThMgRu.

a = 5.0745 Å, b = 5.0745 Å, c = 5.0745 Å
α = 60.00°, β = 60.00°, γ = 60.00°
Element x y z (fractional)
Lu1 0.0000 0.0000 0.0000
Th1 0.5000 0.5000 0.5000
Mg1 0.7500 0.7500 0.7500
Ru1 0.2500 0.2500 0.2500

## Properties
As for the formation energy from the elements: -165 meV per atom. As for the space group: F-43m.

***

# 13
Density functional theory data (PBE) for a relaxed structure of Er4PbAuC.

a = 8.1920 Å, b = 8.1920 Å, c = 6.8209 Å
α = 90.00°, β = 90.00°, γ = 130.84°
Element x y z (fractional)
Er1 0.0000 0.5000 0.0000
Er2 0.0000 0.5000 0.5000
Er3 0.0774 0.9226 0.7500
Er4 0.4098 0.5902 0.7500
Er5 0.5000 0.0000 0.0000
Er6 0.5000 0.0000 0.5000
Er7 0.5902 0.4098 0.2500
Er8 0.9226 0.0774 0.2500
Pb1 0.3863 0.6137 0.2500
Pb2 0.6137 0.3863 0.7500
Au1 0.1188 0.8812 0.2500
Au2 0.8812 0.1188 0.7500
C1 0.2481 0.7519 0.7500
C2 0.7519 0.2481 0.2500

## Properties
As for the formation energy from the elements: -517 meV per atom. As for the space group: Cmcm.

***

# 14
Density functional theory data (PBE) for a relaxed structure of Y2HIrPd.

a = 4.9643 Å, b = 4.9643 Å, c = 3.5671 Å
α = 90.00°, β = 90.00°, γ = 90.00°
Element x y z (fractional)
Y1 0.0000 0.5000 0.0000
Y2 0.5000 0.0000 0.0000
H1 0.0000 0.0000 0.0000
Ir1 0.0000 0.0000 0.5000
Pd1 0.5000 0.5000 0.5000

## Properties
The value obtained for the energy above the most stable polymorph in this dataset is 0.0000 eV/atom. As for the space group: P4/mmm.

***

# 15
Density functional theory data (PBE) for a relaxed structure of ZrIrPb3.

a = 5.5708 Å, b = 5.5708 Å, c = 5.5708 Å
α = 90.00°, β = 90.00°, γ = 90.00°
Element x y z (fractional)
Zr1 0.0000 0.0000 0.0000
Ir1 0.5000 0.5000 0.5000
Pb1 0.0000 0.0000 0.5000
Pb2 0.0000 0.5000 0.0000
Pb3 0.5000 0.0000 0.0000

## Properties
The value obtained for the energy above the most stable polymorph in this dataset is 0.6040 eV/atom. As for the formation energy from the elements: 1342 meV per atom. As for the space group: Pm-3m.

***

# 16
Density functional theory data (PBE) for a relaxed structure of PtAu3.

a = 5.0008 Å, b = 9.7221 Å, c = 5.7366 Å
α = 90.00°, β = 90.00°, γ = 90.00°
Element x y z (fractional)
Pt1 0.0785 0.2500 0.1291
Pt2 0.4215 0.7500 0.6291
Pt3 0.5785 0.2500 0.3709
Pt4 0.9215 0.7500 0.8709
Au1 0.0739 0.2500 0.6236
Au2 0.2448 0.5020 0.8747
Au3 0.2448 0.9980 0.8747
Au4 0.2552 0.0020 0.3747
Au5 0.2552 0.4980 0.3747
Au6 0.4261 0.7500 0.1236
Au7 0.5739 0.2500 0.8764
Au8 0.7448 0.5020 0.6253
Au9 0.7448 0.9980 0.6253
Au10 0.7552 0.0020 0.1253
Au11 0.7552 0.4980 0.1253
Au12 0.9261 0.7500 0.3764

## Properties
As for the formation energy from the elements: 31 meV per atom. As for the space group: Pnma.

***

# 17
Density functional theory data (PBE) for a relaxed structure of Li4Er3GaS8.

a = 7.5632 Å, b = 7.5632 Å, c = 7.5632 Å
α = 60.46°, β = 60.46°, γ = 60.46°
Element x y z (fractional)
Li1 0.0000 0.0000 0.0000
Li2 0.0000 0.5000 0.5000
Li3 0.5000 0.0000 0.5000
Li4 0.5000 0.5000 0.0000
Er1 0.0000 0.0000 0.5000
Er2 0.0000 0.5000 0.0000
Er3 0.5000 0.0000 0.0000
Ga1 0.5000 0.5000 0.5000
S1 0.2501 0.2501 0.2501
S2 0.2606 0.2606 0.7351
S3 0.2606 0.7351 0.2606
S4 0.2649 0.7394 0.7394
S5 0.7351 0.2606 0.2606
S6 0.7394 0.2649 0.7394
S7 0.7394 0.7394 0.2649
S8 0.7499 0.7499 0.7499

## Properties
For the uncorrected formation energy, the calculation gives -1.573 eV per atom. As for the space group: R-3m.

***

# 18
Density functional theory data (PBE) for a relaxed structure of Na3ZrSn2Se6.

a = 7.1829 Å, b = 7.1829 Å, c = 7.3140 Å
α = 99.50°, β = 99.50°, γ = 120.04°
Element x y z (fractional)
Na1 0.0000 0.0000 0.0000
Na2 0.3270 0.6730 0.0000
Na3 0.6730 0.3270 0.0000
Zr1 0.5000 0.5000 0.5000
Sn1 0.1654 0.8346 0.5000
Sn2 0.8346 0.1654 0.5000
Se1 0.1114 0.4250 0.2750
Se2 0.2625 0.2625 0.7247
Se3 0.4250 0.1114 0.2750
Se4 0.5750 0.8886 0.7250
Se5 0.7375 0.7375 0.2753
Se6 0.8886 0.5750 0.7250

## Properties
For the uncorrected formation energy, the calculation gives -0.963 eV per atom. As for the space group: C2/m.

***

# 19
Density functional theory data (PBE) for a relaxed structure of CaZnBr2.

a = 9.2043 Å, b = 9.2043 Å, c = 9.2043 Å
α = 25.84°, β = 25.84°, γ = 25.84°
Element x y z (fractional)
Ca1 0.0000 0.0000 0.0000
Zn1 0.7459 0.7459 0.7459
Br1 0.2731 0.2731 0.2731
Br2 0.4649 0.4649 0.4649

## Properties
The value obtained for the energy above the most stable polymorph in this dataset is 0.1914 eV/atom. For the uncorrected formation energy, the calculation gives -1.085 eV per atom. As for the space group: R3m.

***

# 20
Density functional theory data (PBE) for a relaxed structure of K2Ag5S4.

a = 9.5128 Å, b = 7.5390 Å, c = 7.1158 Å
α = 80.90°, β = 51.49°, γ = 47.61°
Element x y z (fractional)
K1 0.1641 0.1641 0.8359
K2 0.8359 0.8359 0.1641
Ag1 0.0000 0.0000 0.5000
Ag2 0.2500 0.2500 0.2500
Ag3 0.5000 0.5000 0.0000
Ag4 0.5000 0.5000 0.5000
Ag5 0.7500 0.7500 0.7500
S1 0.2292 0.5142 0.4858
S2 0.4858 0.7708 0.2292
S3 0.5142 0.2292 0.7708
S4 0.7708 0.4858 0.5142

## Properties
For the uncorrected formation energy, the calculation gives -0.293 eV per atom. As for the space group: Fmmm.

***

no.,calculated total energy (eV/cell)
1,-27.46
2,-37.56
3,-39.94
4,-19.19
5,-16.90
6,-27.11
7,-60.45
8,-25.84
9,-91.85
10,-59.45
11,-30.05
12,-23.47
13,-76.15
14,-34.06
15,-21.82
16,-62.99
17,-82.56
18,-52.97
19,-10.96
20,-36.19